# 1
Material: ScFeSn2
Method: DFT, PBE
State: relaxed

It has space group R-3m (No. 166, hexagonal axes), with a = 4.3682 Å, b = 4.3682 Å, c = 14.7045 Å, α = 90.00°, β = 90.00° and γ = 120.00°. Symmetry generates all atoms from Sc at (0.0000, 0.0000, 0.0000), Fe at (0.0000, 0.0000, 0.5000) and Sn at (0.0000, 0.0000, 0.2299).

The value obtained for the calculated formation energy is -0.139 eV per atom.


# 2
Material: CaTaIr2
Method: DFT, PBE
State: relaxed

It has space group I-42d (No. 122), with a = 7.334 Å, b = 7.334 Å, c = 6.014 Å, α = 90.00°, β = 90.00° and γ = 90.00°. Symmetry generates all atoms from Ca at (0.000, 0.000, 0.000), Ta at (0.000, 0.000, 0.500) and Ir at (0.208, 0.250, 0.625).

The value obtained for the energy above the lowest structure with this stoichiometry is 534.1 meV/atom. The value obtained for the calculated formation energy is 0.053 eV per atom.


# 3
Material: Mg2ICl2
Method: DFT, PBE
State: relaxed

It has space group P4/mbm (No. 127), with a = 9.294 Å, b = 9.294 Å, c = 3.753 Å, α = 90.00°, β = 90.00° and γ = 90.00°. Symmetry generates all atoms from Mg at (0.234, 0.266, 0.000), I at (0.000, 0.000, 0.500) and Cl at (0.121, 0.379, 0.500).

The uncorrected formation energy is -0.75 eV/atom. The value obtained for the energy above the lowest structure with this stoichiometry is 158.4 meV/atom.


# 4
Material: Si2TcSb
Method: DFT, PBE
State: relaxed

It has space group I4/mmm (No. 139), with a = 4.089 Å, b = 4.089 Å, c = 7.863 Å, α = 90.00°, β = 90.00° and γ = 90.00°. Symmetry generates all atoms from Si at (0.000, 0.500, 0.250), Tc at (0.000, 0.000, 0.000) and Sb at (0.000, 0.000, 0.500).

The uncorrected formation energy is 0.53 eV/atom.


# 5
Material: La12Ho3Cd
Method: DFT, PBE
State: relaxed

It has space group P4/mmm (No. 123), with a = 5.166 Å, b = 5.166 Å, c = 20.797 Å, α = 90.00°, β = 90.00° and γ = 90.00°. Symmetry generates all atoms from La at (0.000, 0.000, 0.000), La at (0.000, 0.000, 0.248), La at (0.000, 0.000, 0.500), La at (0.000, 0.500, 0.123), La at (0.000, 0.500, 0.374), Ho at (0.500, 0.500, 0.248), Ho at (0.500, 0.500, 0.500) and Cd at (0.500, 0.500, 0.000).

The value obtained for the calculated formation energy is -0.023 eV per atom.


# 6
Material: HfTi2Zn2
Method: DFT, PBE
State: relaxed

It has space group I4/mmm (No. 139), with a = 3.937 Å, b = 3.937 Å, c = 11.735 Å, α = 90.00°, β = 90.00° and γ = 90.00°. Symmetry generates all atoms from Hf at (0.000, 0.000, 0.000), Ti at (0.000, 0.000, 0.397) and Zn at (0.000, 0.500, 0.250).

The value obtained for the energy above the lowest structure with this stoichiometry is 295.6 meV/atom. The value obtained for the calculated formation energy is 0.218 eV per atom.


# 7
Material: MgBiO2
Method: DFT, PBE
State: relaxed

It has space group I-42d (No. 122), with a = 5.236 Å, b = 5.236 Å, c = 9.541 Å, α = 90.00°, β = 90.00° and γ = 90.00°. Symmetry generates all atoms from Mg at (0.000, 0.000, 0.000), Bi at (0.000, 0.000, 0.500) and O at (0.176, 0.250, 0.125).

The uncorrected formation energy is -1.47 eV/atom. The value obtained for the energy above the lowest structure with this stoichiometry is 63.7 meV/atom.


# 8
Material: Ca2OsAu
Method: DFT, PBE
State: relaxed

It has space group I-4m2 (No. 119), with a = 4.286 Å, b = 4.286 Å, c = 9.318 Å, α = 90.00°, β = 90.00° and γ = 90.00°. Symmetry generates all atoms from Ca at (0.000, 0.000, 0.000), Ca at (0.000, 0.500, 0.250), Os at (0.000, 0.500, 0.750) and Au at (0.000, 0.000, 0.500).

The value obtained for the calculated formation energy is 0.210 eV per atom.


# 9
Material: Nd2Ho3In2
Method: DFT, PBE
State: relaxed

It has space group R-3m (No. 166, hexagonal axes), with a = 5.4480 Å, b = 5.4480 Å, c = 24.3713 Å, α = 90.00°, β = 90.00° and γ = 120.00°. Symmetry generates all atoms from Nd at (0.0000, 0.0000, 0.0776), Ho at (0.0000, 0.0000, 0.3476), Ho at (0.0000, 0.0000, 0.5000) and In at (0.0000, 0.0000, 0.2176).

The value obtained for the calculated formation energy is -0.266 eV per atom.


# 10
Material: Pr2SN
Method: DFT, PBE
State: relaxed

It has space group P-3m1 (No. 164), with a = 3.7709 Å, b = 3.7709 Å, c = 6.7714 Å, α = 90.00°, β = 90.00° and γ = 120.00°. Symmetry generates all atoms from Pr at (0.3333, 0.6667, 0.2122), S at (0.0000, 0.0000, 0.5000) and N at (0.0000, 0.0000, 0.0000).

The uncorrected formation energy is -1.61 eV/atom. The value obtained for the energy above the lowest structure with this stoichiometry is 72.1 meV/atom.


# 11
Material: HoGa2Ru
Method: DFT, PBE
State: relaxed

It has space group P4/mmm (No. 123), with a = 3.200 Å, b = 3.200 Å, c = 6.910 Å, α = 90.00°, β = 90.00° and γ = 90.00°. Symmetry generates all atoms from Ho at (0.000, 0.000, 0.000), Ga at (0.500, 0.500, 0.302) and Ru at (0.000, 0.000, 0.500).

The value obtained for the calculated formation energy is -0.428 eV per atom.


# 12
Material: AcInAg2Ge
Method: DFT, PBE
State: relaxed

It has space group Imm2 (No. 44), with a = 4.354 Å, b = 4.547 Å, c = 12.207 Å, α = 90.00°, β = 90.00° and γ = 90.00°. Symmetry generates all atoms from Ac at (0.000, 0.000, 0.000), In at (0.000, 0.500, 0.756), Ag at (0.000, 0.000, 0.621), Ag at (0.000, 0.500, 0.275) and Ge at (0.000, 0.000, 0.407).

The value obtained for the calculated formation energy is -0.382 eV per atom.


Repeat the eighth record exactly.
Material: Ca2OsAu
Method: DFT, PBE
State: relaxed

It has space group I-4m2 (No. 119), with a = 4.286 Å, b = 4.286 Å, c = 9.318 Å, α = 90.00°, β = 90.00° and γ = 90.00°. Symmetry generates all atoms from Ca at (0.000, 0.000, 0.000), Ca at (0.000, 0.500, 0.250), Os at (0.000, 0.500, 0.750) and Au at (0.000, 0.000, 0.500).

The value obtained for the calculated formation energy is 0.210 eV per atom.


Question: Number 9 is which compound?
Answer: Nd2Ho3In2